Entry 1:
{
  "formula": "LiCoBr4",
  "functional": "PBE",
  "state": "optimized geometry",
  "lattice_angstrom": [[-0.343, -0.092, -7.210], [-5.771, -0.948, 0.286], [-0.899, 6.320, 2.811]],
  "species": ["Li", "Br", "Li", "Br", "Br", "Br", "Co", "Br", "Br", "Br", "Br", "Co"],
  "frac_coords": [[0.500, 0.000, 0.000], [0.324, 0.819, 0.643], [0.500, 0.500, 0.500], [0.324, 0.681, 0.143], [0.856, 0.729, 0.205], [0.676, 0.319, 0.857], [0.000, 0.000, 0.500], [0.676, 0.181, 0.357], [0.144, 0.229, 0.295], [0.856, 0.771, 0.705], [0.144, 0.271, 0.795], [0.000, 0.500, 0.000]],
  "e_tot_ry_per_atom": -0.23629,
  "m_tot_mub_per_cell": 0.01
}

***

Entry 2:
{
  "formula": "Sm2Hg",
  "functional": "PBE",
  "state": "optimized geometry",
  "lattice_angstrom": [[4.646, 2.682, 7.586], [-4.646, 2.682, 7.586], [0.000, -5.364, 7.586]],
  "species": ["Sm", "Hg", "Hg", "Sm", "Sm", "Sm"],
  "frac_coords": [[0.375, 0.875, 0.375], [0.250, 0.250, 0.250], [0.500, 0.500, 0.500], [0.875, 0.375, 0.375], [0.375, 0.375, 0.375], [0.375, 0.375, 0.875]],
  "formation_enthalpy_0k_ev_per_atom": 1.324,
  "m_tot_mub_per_cell": 0.82
}